Here is crystalline TeMoAsBr2 at its relaxed geometry from the Alexandria database. Energies are from PBE.

The structure in POSCAR format:
```
TeMoAsBr2
1.0
-3.1224 2.5819 -2.8392
-2.9705 -3.9434 -0.3192
-2.5675 1.5886 4.2683
Te As Br Mo
1 1 2 1
Cartesian
-4.3302 0.1135 0.5550 Te
-1.2838 0.7943 2.1342 As
-1.5612 1.2909 -1.4196 Br
-1.4853 -1.9717 -0.1596 Br
0.0000 0.0000 0.0000 Mo
```

Summary:
Offset from the most stable computed form   0.00 eV per formula unit
Magnetization   0.32 μB/f.u.
Calculated volume   127.97 Å³ per cell
Formation energy without anion corrections   2.0 eV/f.u.
Final energy   -4.00 eV/atom
D(E_F)   1.04 states/eV per atom
SG   P4/mmm